Ba2InFeMo, optimized geometry, DFT GGA-PBE; ΔE_f = 1.088 eV per atom
1.0
5.8465 0.0000 0.0000
0.0000 5.3441 0.0000
0.0000 0.0000 5.8465
Fe Mo Ba In
1 1 2 1
direct
0.5000 0.5000 0.5000 Fe
0.0000 0.0000 0.0000 Mo
0.0000 0.0000 0.5000 Ba
0.5000 0.0000 0.0000 Ba
0.0000 0.5000 0.0000 In

***

Ba2InFeN, optimized geometry, DFT GGA-PBE; formation energy without anion corrections = -238 meV/atom
1.0
-0.9336 -4.4109 4.0548
4.5589 2.1398 3.3773
-2.3200 2.1296 1.7825
Fe N Ba In
1 1 2 1
direct
0.0000 0.0000 0.5000 Fe
0.0000 0.0000 0.0000 N
0.0000 0.5000 0.0000 Ba
0.5000 0.0000 0.0000 Ba
0.5000 0.5000 0.5000 In

***

E values, unit eV per cell, following the record order: -20.44; -24.56.
Total magnetic moment values, unit μB per atom, following the record order: 0.68; 0.23.